[1]
Material: Sm3Tm4Mg
Method: DFT, PBE
State: optimized geometry

POSCAR file:
```
Sm3Tm4Mg
1.0
6.166 0.000 0.000
0.000 7.115 0.000
0.000 0.000 11.217
Sm Tm Mg
6 8 2
Direct
0.634 0.630 0.000
0.981 0.622 0.242
0.481 0.378 0.258
0.134 0.370 0.500
0.481 0.378 0.742
0.981 0.622 0.758
0.158 0.883 0.000
0.645 0.124 0.000
0.985 0.123 0.245
0.485 0.877 0.255
0.145 0.876 0.500
0.658 0.117 0.500
0.485 0.877 0.745
0.985 0.123 0.755
0.146 0.369 0.000
0.646 0.631 0.500
```

Properties
Crystal system: orthorhombic
Symmetry: Pmn2_1
Energy of formation in eV per atom: 0.00
VASP energy in eV per cell: -67.271

[2]
Material: CaSbOs3
Method: DFT, PBE
State: optimized geometry

POSCAR file:
```
CaSbOs3
1.0
-3.325 3.308 -0.573
-0.199 -0.999 -4.614
-3.351 -3.223 0.842
Sb Ca Os
1 1 3
Direct
0.500 0.500 0.500
0.000 0.000 0.000
0.000 0.500 0.000
0.000 0.000 0.500
0.500 0.000 0.000
```

Properties
Crystal system: cubic
Symmetry: Pm-3m
ΔE_f (raw) in eV per atom: 2.92
VASP energy in eV per cell: -25.214

[3]
Material: BiPd2Pb2
Method: DFT, PBE
State: optimized geometry

POSCAR file:
```
BiPd2Pb2
1.0
8.423 0.000 0.000
0.000 8.423 0.000
0.000 0.000 3.363
Pb Bi Pd
4 2 4
Direct
0.358 0.858 0.000
0.858 0.642 0.000
0.642 0.142 0.000
0.142 0.358 0.000
0.000 0.000 0.000
0.500 0.500 0.000
0.150 0.650 0.500
0.650 0.850 0.500
0.850 0.350 0.500
0.350 0.150 0.500
```

Properties
Crystal system: tetragonal
Symmetry: P4/mbm
Energy of formation in eV per atom: 0.01
VASP energy in eV per cell: -43.293

[4]
Material: V2H4Ru3
Method: DFT, PBE
State: optimized geometry

POSCAR file:
```
V2H4Ru3
1.0
2.712 0.000 0.667
1.203 4.566 0.955
-0.093 0.439 6.222
V H Ru
2 4 3
Direct
0.596 0.210 0.597
0.404 0.790 0.403
0.802 0.088 0.308
0.198 0.912 0.692
0.394 0.306 0.906
0.606 0.694 0.094
0.000 0.000 0.000
0.192 0.398 0.219
0.808 0.602 0.781
```

Properties
Crystal system: monoclinic
Symmetry: C2/m
VASP energy in eV per cell: -60.294

[5]
Material: Tb2SnSe
Method: DFT, PBE
State: optimized geometry

POSCAR file:
```
Tb2SnSe
1.0
6.047 0.000 0.000
0.000 6.042 -0.234
0.000 0.467 12.050
Tb Sn Se
8 4 4
Direct
0.750 0.000 0.870
0.250 0.000 0.130
0.750 0.500 0.630
0.250 0.500 0.370
0.750 0.500 0.120
0.250 0.500 0.880
0.750 0.000 0.380
0.250 0.000 0.620
0.250 0.500 0.625
0.750 0.500 0.375
0.250 0.000 0.875
0.750 0.000 0.125
0.250 0.000 0.375
0.750 0.000 0.625
0.250 0.500 0.125
0.750 0.500 0.875
```

Properties
Crystal system: tetragonal
Symmetry: I4_1/amd
ΔE_f (raw) in eV per atom: -1.27
VASP energy in eV per cell: -87.233

[6]
Material: RbHgSe2O6
Method: DFT, PBE
State: optimized geometry

POSCAR file:
```
RbHgSe2O6
1.0
5.862 0.000 0.000
2.931 5.077 0.000
2.931 1.692 6.273
Rb Hg Se O
1 1 2 6
Direct
0.000 0.000 0.000
0.500 0.500 0.500
0.731 0.731 0.807
0.269 0.269 0.193
0.060 0.515 0.717
0.708 0.060 0.717
0.485 0.292 0.283
0.940 0.485 0.283
0.292 0.940 0.283
0.515 0.708 0.717
```

Properties
Crystal system: trigonal
Symmetry: R-3
ΔE_f (raw) in eV per atom: -0.75
VASP energy in eV per cell: -45.503

[7]
Material: DyHo2Er5Zr
Method: DFT, PBE
State: optimized geometry

POSCAR file:
```
DyHo2Er5Zr
1.0
-2.013 4.390 -2.620
-4.957 -8.326 -4.382
-7.058 0.716 6.623
Dy Ho Er Zr
2 4 10 2
Direct
0.601 0.203 0.930
0.399 0.797 0.430
0.893 0.786 0.813
0.127 0.254 0.724
0.107 0.214 0.313
0.873 0.746 0.224
0.366 0.731 0.027
0.743 0.486 0.854
0.480 0.960 0.737
0.305 0.609 0.703
0.982 0.964 0.510
0.634 0.269 0.527
0.257 0.514 0.354
0.520 0.040 0.237
0.695 0.391 0.203
0.018 0.036 0.010
0.813 0.627 0.526
0.187 0.373 0.026
```

Properties
Crystal system: orthorhombic
Symmetry: Cmc2_1
Energy of formation in eV per atom: 0.18
VASP energy in eV per cell: -87.017